Entry from the Alexandria database: a relaxed structure of BaSr3Ir (GGA-PBE).

a b c (Å): 9.704 9.704 9.704
angles (deg): 48.68 48.68 48.68
Atoms (fractional coordinates):
Sr1 0.362 0.114 0.683
Sr2 0.886 0.317 0.638
Ir1 0.694 0.694 0.694
Sr3 0.683 0.362 0.114
Ba1 0.814 0.814 0.814
Sr4 0.317 0.638 0.886
Ba2 0.186 0.186 0.186
Sr5 0.638 0.886 0.317
Ir2 0.306 0.306 0.306
Sr6 0.114 0.683 0.362

Results
crystal system: trigonal
total magnetization: 0.00 μB per formula unit
formation energy from the elements: -0.05 eV per atom